This record from Alexandria via LeMat-Bulk describes a relaxed structure of Pr2DyEr2Tm. The functional is PBE-GGA.

Cell lengths 5.649, 7.013, 9.787 Å; angles 90.00, 90.00, 90.00 degrees
Fractional positions:
Pr (0.500, 0.508, 0.000)
Pr (0.000, 0.757, 0.820)
Pr (0.000, 0.257, 0.180)
Pr (0.500, 0.008, 0.000)
Er (0.500, 0.758, 0.667)
Er (0.000, 0.758, 0.164)
Er (0.500, 0.258, 0.333)
Er (0.000, 0.258, 0.836)
Dy (0.500, 0.758, 0.342)
Dy (0.500, 0.258, 0.658)
Tm (0.000, 0.008, 0.500)
Tm (0.000, 0.508, 0.500)

Computed properties:
theoretical density: 8.12 g/cm3
energy: -4.56 eV/atom
space group: Pmma
total moment: 0.0000 μB/atom